*w*
In2NiBr: relaxed, PBE.

Structure (POSCAR):
```
In2NiBr
1.0
-1.632 2.769 5.135
1.632 -2.769 5.135
1.632 2.769 -5.135
In Ni Br
2 1 1
Direct
0.000 0.000 0.000
0.710 0.210 0.500
0.199 0.699 0.500
0.385 0.385 0.000
```

*x*
In2NiBr: relaxed, PBE.

Structure (POSCAR):
```
In2NiBr
1.0
-2.031 2.031 6.030
2.031 -2.031 6.030
2.031 2.031 -6.030
In Ni Br
2 1 1
Direct
0.000 0.000 0.000
0.750 0.250 0.500
0.250 0.750 0.500
0.500 0.500 0.000
```

We find *w* to be the most stable, with the next structure 21.0 kJ/mol of atoms higher.